{"formula": "Ba2Tl", "functional": "SCAN", "state": "PBEsol geometry", "cell": [[-0.393, -2.272, -3.279], [-0.688, -4.802, 3.410], [-5.861, 0.897, 0.081]], "species": ["Ba", "Ba", "Tl"], "fractional_positions": [[0.500, 0.000, 0.500], [0.500, 0.500, 0.000], [0.000, 0.000, 0.000]], "formation_enthalpy_0k_ev_per_atom": -0.400, "vol_a3_per_atom": 46.976}